Entry from the Alexandria database: a relaxed structure of DyMg3Ga2 (PBE).

```
data_DyMg3Ga2
_space_group_name_H-M_alt 'C 1 2/m 1'
_space_group_IT_number 12
_cell_length_a 16.3781
_cell_length_b 4.4389
_cell_length_c 8.5104
_cell_angle_alpha 90.00
_cell_angle_beta 121.26
_cell_angle_gamma 90.00
loop_
_space_group_symop_operation_xyz
'x,y,z'
'-x,-y,-z'
'-x,y,-z'
'x,-y,z'
'x+1/2,y+1/2,z'
'-x+1/2,-y+1/2,-z'
'-x+1/2,y+1/2,-z'
'x+1/2,-y+1/2,z'
loop_
_atom_site_label
_atom_site_type_symbol
_atom_site_fract_x
_atom_site_fract_y
_atom_site_fract_z
Dy1 Dy 0.1275 0.0000 0.1281
Mg1 Mg 0.0009 0.0000 0.6685
Mg2 Mg 0.1687 0.5000 0.4722
Mg3 Mg 0.1694 0.5000 0.8668
Ga1 Ga 0.9999 0.5000 0.1465
Ga2 Ga 0.2089 0.0000 0.7089
```

Calculated values
- E_form: -299 meV per atom


Entry from the Alexandria database: a relaxed structure of SrPW4 (PBE).

```
data_SrPW4
_space_group_name_H-M_alt 'F -4 3 m'
_space_group_IT_number 216
_space_group_name_Hall 'F -4 2 3'
_cell_length_a 7.7415
_cell_length_b 7.7415
_cell_length_c 7.7415
_cell_angle_alpha 90.00
_cell_angle_beta 90.00
_cell_angle_gamma 90.00
loop_
_atom_site_label
_atom_site_type_symbol
_atom_site_fract_x
_atom_site_fract_y
_atom_site_fract_z
Sr1 Sr 0.0000 0.0000 0.0000
P1 P 0.2500 0.2500 0.2500
W1 W 0.1252 0.1252 0.6252
```

Calculated values
- E_form: 1010 meV per atom


Entry from the Alexandria database: a relaxed structure of HgMo2Ru (PBE).

```
data_HgMo2Ru
_space_group_name_H-M_alt 'C m m 2'
_space_group_IT_number 35
_cell_length_a 3.2192
_cell_length_b 4.5681
_cell_length_c 9.1335
_cell_angle_alpha 90.00
_cell_angle_beta 90.00
_cell_angle_gamma 90.00
loop_
_space_group_symop_operation_xyz
'x,y,z'
'-x,-y,z'
'-x,y,z'
'x,-y,z'
'x+1/2,y+1/2,z'
'-x+1/2,-y+1/2,z'
'-x+1/2,y+1/2,z'
'x+1/2,-y+1/2,z'
loop_
_atom_site_label
_atom_site_type_symbol
_atom_site_fract_x
_atom_site_fract_y
_atom_site_fract_z
Hg1 Hg 0.0000 0.0000 0.0000
Mo1 Mo 0.0000 0.0000 0.4915
Mo2 Mo 0.0000 0.5000 0.7250
Ru1 Ru 0.0000 0.5000 0.2676
```

Calculated values
- E_form: 390 meV per atom